Version P
Density functional theory data (PBE-GGA) for crystalline Sr2SiSn at its relaxed geometry.

The structure in CIF format:
```
data_Sr2SiSn
_symmetry_space_group_name_H-M 'F m -3 m'
_symmetry_Int_Tables_number 225
_symmetry_space_group_name_Hall '-F 4 2 3'
_cell_length_a 7.8811
_cell_length_b 7.8811
_cell_length_c 7.8811
_cell_angle_alpha 90.00
_cell_angle_beta 90.00
_cell_angle_gamma 90.00
loop_
_atom_site_label
_atom_site_type_symbol
_atom_site_fract_x
_atom_site_fract_y
_atom_site_fract_z
Sr1 Sr 0.2500 0.2500 0.2500
Si1 Si 0.0000 0.0000 0.0000
Sn1 Sn 0.0000 0.0000 0.5000
```

***

Version Q
Density functional theory data (PBE-GGA) for crystalline Sr2SiSn at its relaxed geometry.

The structure in CIF format:
```
data_Sr2SiSn
_symmetry_space_group_name_H-M 'I -4 2 d'
_symmetry_Int_Tables_number 122
_symmetry_space_group_name_Hall 'I -4 2bw'
_cell_length_a 8.7792
_cell_length_b 8.7792
_cell_length_c 6.7948
_cell_angle_alpha 90.00
_cell_angle_beta 90.00
_cell_angle_gamma 90.00
loop_
_atom_site_label
_atom_site_type_symbol
_atom_site_fract_x
_atom_site_fract_y
_atom_site_fract_z
Sr1 Sr 0.2246 0.7500 0.1250
Si1 Si 0.0000 0.0000 0.0000
Sn1 Sn 0.0000 0.0000 0.5000
```

***

Taking the most stable structure as the zero point, the relative energies in eV/atom are version P 0.000; version Q 0.297.

***

Version P
Density functional theory data (PBE-GGA) for crystalline SiTc3Sn at its relaxed geometry.

The structure in CIF format:
```
data_SiTc3Sn
_symmetry_space_group_name_H-M 'P m -3 m'
_symmetry_Int_Tables_number 221
_symmetry_space_group_name_Hall '-P 4 2 3'
_cell_length_a 4.4532
_cell_length_b 4.4532
_cell_length_c 4.4532
_cell_angle_alpha 90.00
_cell_angle_beta 90.00
_cell_angle_gamma 90.00
loop_
_atom_site_label
_atom_site_type_symbol
_atom_site_fract_x
_atom_site_fract_y
_atom_site_fract_z
Si1 Si 0.0000 0.0000 0.0000
Tc1 Tc 0.0000 0.0000 0.5000
Sn1 Sn 0.5000 0.5000 0.5000
```

***

Version Q
Density functional theory data (PBE-GGA) for crystalline SiTc3Sn at its relaxed geometry.

The structure in CIF format:
```
data_SiTc3Sn
_symmetry_space_group_name_H-M 'P m -3 m'
_symmetry_Int_Tables_number 221
_symmetry_space_group_name_Hall '-P 4 2 3'
_cell_length_a 4.8397
_cell_length_b 4.8397
_cell_length_c 4.8397
_cell_angle_alpha 90.00
_cell_angle_beta 90.00
_cell_angle_gamma 90.00
loop_
_atom_site_label
_atom_site_type_symbol
_atom_site_fract_x
_atom_site_fract_y
_atom_site_fract_z
Si1 Si 0.0000 0.0000 0.0000
Tc1 Tc 0.0000 0.5000 0.5000
Sn1 Sn 0.5000 0.5000 0.5000
```

***

Taking the most stable structure as the zero point, the relative energies in eV/atom are version P 0.000; version Q 1.648.

***

Version P
Density functional theory data (PBE-GGA) for crystalline SiTcSn3 at its relaxed geometry.

The structure in CIF format:
```
data_SiTcSn3
_symmetry_space_group_name_H-M 'P m -3 m'
_symmetry_Int_Tables_number 221
_symmetry_space_group_name_Hall '-P 4 2 3'
_cell_length_a 5.1377
_cell_length_b 5.1377
_cell_length_c 5.1377
_cell_angle_alpha 90.00
_cell_angle_beta 90.00
_cell_angle_gamma 90.00
loop_
_atom_site_label
_atom_site_type_symbol
_atom_site_fract_x
_atom_site_fract_y
_atom_site_fract_z
Si1 Si 0.0000 0.0000 0.0000
Tc1 Tc 0.5000 0.5000 0.5000
Sn1 Sn 0.0000 0.0000 0.5000
```

***

Version Q
Density functional theory data (PBE-GGA) for crystalline SiTcSn3 at its relaxed geometry.

The structure in CIF format:
```
data_SiTcSn3
_symmetry_space_group_name_H-M 'P m -3 m'
_symmetry_Int_Tables_number 221
_symmetry_space_group_name_Hall '-P 4 2 3'
_cell_length_a 5.1724
_cell_length_b 5.1724
_cell_length_c 5.1724
_cell_angle_alpha 90.00
_cell_angle_beta 90.00
_cell_angle_gamma 90.00
loop_
_atom_site_label
_atom_site_type_symbol
_atom_site_fract_x
_atom_site_fract_y
_atom_site_fract_z
Si1 Si 0.0000 0.0000 0.0000
Tc1 Tc 0.5000 0.5000 0.5000
Sn1 Sn 0.0000 0.5000 0.5000
```

***

Taking the most stable structure as the zero point, the relative energies in eV/atom are version P 0.549; version Q 0.000.

***

Version P
Density functional theory data (PBE-GGA) for crystalline Si2Tc2Sn at its relaxed geometry.

The structure in CIF format:
```
data_Si2Tc2Sn
_symmetry_space_group_name_H-M 'P 4/m b m'
_symmetry_Int_Tables_number 127
_symmetry_space_group_name_Hall '-P 4 2ab'
_cell_length_a 7.1069
_cell_length_b 7.1069
_cell_length_c 3.0860
_cell_angle_alpha 90.00
_cell_angle_beta 90.00
_cell_angle_gamma 90.00
loop_
_atom_site_label
_atom_site_type_symbol
_atom_site_fract_x
_atom_site_fract_y
_atom_site_fract_z
Si1 Si 0.1362 0.3638 0.0000
Tc1 Tc 0.1521 0.6521 0.5000
Sn1 Sn 0.0000 0.0000 0.5000
```

***

Version Q
Density functional theory data (PBE-GGA) for crystalline Si2Tc2Sn at its relaxed geometry.

The structure in CIF format:
```
data_Si2Tc2Sn
_symmetry_space_group_name_H-M 'P 4/m b m'
_symmetry_Int_Tables_number 127
_symmetry_space_group_name_Hall '-P 4 2ab'
_cell_length_a 7.1572
_cell_length_b 7.1572
_cell_length_c 3.0067
_cell_angle_alpha 90.00
_cell_angle_beta 90.00
_cell_angle_gamma 90.00
loop_
_atom_site_label
_atom_site_type_symbol
_atom_site_fract_x
_atom_site_fract_y
_atom_site_fract_z
Si1 Si 0.1284 0.3716 0.0000
Tc1 Tc 0.1594 0.6594 0.5000
Sn1 Sn 0.0000 0.0000 0.0000
```

***

Taking the most stable structure as the zero point, the relative energies in eV/atom are version P 0.000; version Q 0.109.

***

Version P
Density functional theory data (PBE-GGA) for crystalline Si2Sn2Te at its relaxed geometry.

The structure in CIF format:
```
data_Si2Sn2Te
_symmetry_space_group_name_H-M 'I 4/m m m'
_symmetry_Int_Tables_number 139
_symmetry_space_group_name_Hall '-I 4 2'
_cell_length_a 3.7424
_cell_length_b 3.7424
_cell_length_c 17.1158
_cell_angle_alpha 90.00
_cell_angle_beta 90.00
_cell_angle_gamma 90.00
loop_
_atom_site_label
_atom_site_type_symbol
_atom_site_fract_x
_atom_site_fract_y
_atom_site_fract_z
Si1 Si 0.0000 0.5000 0.2500
Sn1 Sn 0.0000 0.0000 0.1149
Te1 Te 0.0000 0.0000 0.5000
```

***

Version Q
Density functional theory data (PBE-GGA) for crystalline Si2Sn2Te at its relaxed geometry.

The structure in CIF format:
```
data_Si2Sn2Te
_symmetry_space_group_name_H-M 'I 4/m m m'
_symmetry_Int_Tables_number 139
_symmetry_space_group_name_Hall '-I 4 2'
_cell_length_a 5.0009
_cell_length_b 5.0009
_cell_length_c 9.6534
_cell_angle_alpha 90.00
_cell_angle_beta 90.00
_cell_angle_gamma 90.00
loop_
_atom_site_label
_atom_site_type_symbol
_atom_site_fract_x
_atom_site_fract_y
_atom_site_fract_z
Si1 Si 0.0000 0.0000 0.1228
Sn1 Sn 0.0000 0.5000 0.2500
Te1 Te 0.0000 0.0000 0.5000
```

***

Taking the most stable structure as the zero point, the relative energies in eV/atom are version P 0.000; version Q 0.023.

***

Version P
Density functional theory data (PBE-GGA) for crystalline TiSi3Sn at its relaxed geometry.

The structure in CIF format:
```
data_TiSi3Sn
_symmetry_space_group_name_H-M 'P m -3 m'
_symmetry_Int_Tables_number 221
_symmetry_space_group_name_Hall '-P 4 2 3'
_cell_length_a 5.0171
_cell_length_b 5.0171
_cell_length_c 5.0171
_cell_angle_alpha 90.00
_cell_angle_beta 90.00
_cell_angle_gamma 90.00
loop_
_atom_site_label
_atom_site_type_symbol
_atom_site_fract_x
_atom_site_fract_y
_atom_site_fract_z
Ti1 Ti 0.0000 0.0000 0.0000
Si1 Si 0.0000 0.5000 0.5000
Sn1 Sn 0.5000 0.5000 0.5000
```

***

Version Q
Density functional theory data (PBE-GGA) for crystalline TiSi3Sn at its relaxed geometry.

The structure in CIF format:
```
data_TiSi3Sn
_symmetry_space_group_name_H-M 'P m -3 m'
_symmetry_Int_Tables_number 221
_symmetry_space_group_name_Hall '-P 4 2 3'
_cell_length_a 4.8158
_cell_length_b 4.8158
_cell_length_c 4.8158
_cell_angle_alpha 90.00
_cell_angle_beta 90.00
_cell_angle_gamma 90.00
loop_
_atom_site_label
_atom_site_type_symbol
_atom_site_fract_x
_atom_site_fract_y
_atom_site_fract_z
Ti1 Ti 0.0000 0.0000 0.0000
Si1 Si 0.0000 0.0000 0.5000
Sn1 Sn 0.5000 0.5000 0.5000
```

***

Taking the most stable structure as the zero point, the relative energies in eV/atom are version P 1.004; version Q 0.000.